Entry 1:
This record from Alexandria via LeMat-Bulk describes a geometry-optimized Sr12Pd3N5 structure. The functional is GGA-PBE.

Geometry as POSCAR:
```
Sr12Pd3N5
1.0
-8.3133 8.3133 8.3133
8.3133 -8.3133 8.3133
8.3133 8.3133 -8.3133
Sr Pd N
48 12 20
Cartesian
2.5035 -0.5077 0.8356
9.9663 4.9923 -4.6644
10.8168 0.5077 0.8356
9.9663 -3.3210 4.6644
7.8055 -0.8356 2.5035
12.9776 -1.6531 3.3210
0.8356 2.5035 -0.5077
11.6342 3.6489 -1.6531
4.9923 4.6644 -1.6531
7.4776 2.5035 0.5077
-0.5077 0.8356 2.5035
4.6644 -1.6531 4.9923
7.8055 7.4776 -2.5035
4.6644 1.6531 3.3210
4.9923 -4.6644 9.9663
7.4776 -2.5035 7.8055
3.3210 4.6644 1.6531
9.1489 5.8097 0.5077
4.6644 9.9663 -3.3210
7.8055 0.8356 5.8097
2.5035 7.8055 -0.8356
9.9663 3.3210 3.6489
1.6531 3.3210 4.6644
2.5035 0.5077 7.4776
5.8097 7.8055 0.8356
6.6602 4.9923 3.6489
-1.6531 4.9923 4.6644
5.8097 0.5077 9.1489
0.5077 7.4776 2.5035
3.6489 -1.6531 11.6342
-0.8356 2.5035 7.8055
4.9923 3.6489 6.6602
0.8356 10.8168 0.5077
3.3210 12.9776 -1.6531
3.6489 6.6602 4.9923
0.5077 0.8356 10.8168
3.6489 9.9663 3.3210
8.8210 7.4776 5.8097
0.8356 5.8097 7.8055
3.3210 3.6489 9.9663
-3.3210 4.6644 9.9663
7.4776 5.8097 8.8210
-4.6644 9.9663 4.9923
0.5077 9.1489 5.8097
-1.6531 11.6342 3.6489
-2.5035 7.8055 7.4776
-1.6531 3.3210 12.9776
5.8097 8.8210 7.4776
4.1566 2.0783 0.0000
8.3133 4.1566 -2.0783
2.0783 0.0000 4.1566
10.3916 0.0000 4.1566
0.0000 4.1566 2.0783
4.1566 -2.0783 8.3133
4.1566 10.3916 0.0000
8.3133 4.1566 6.2349
-2.0783 8.3133 4.1566
6.2349 8.3133 4.1566
0.0000 4.1566 10.3916
4.1566 6.2349 8.3133
0.0000 0.0000 0.0000
4.1566 4.1566 -4.1566
4.1566 -4.1566 4.1566
8.3133 0.0000 0.0000
12.4699 2.0783 0.0000
8.3133 -4.1566 6.2349
6.2349 8.3133 -4.1566
6.2349 0.0000 4.1566
4.1566 6.2349 0.0000
8.3133 4.1566 2.0783
-4.1566 4.1566 4.1566
0.0000 8.3133 0.0000
0.0000 0.0000 8.3133
4.1566 4.1566 4.1566
0.0000 4.1566 6.2349
4.1566 2.0783 8.3133
2.0783 8.3133 4.1566
2.0783 0.0000 12.4699
0.0000 12.4699 2.0783
-4.1566 6.2349 8.3133
```

Calculated values
**Fermi-level density of states**: 8.12 states/eV/f.u.
**Electronic total energy**: -4.33 eV per atom



Entry 2:
This record from Alexandria via LeMat-Bulk describes a geometry-optimized LaPaAs2 structure. The functional is GGA-PBE.

Geometry as POSCAR:
```
LaPaAs2
1.0
4.2081 0.0000 0.0000
-2.1041 3.6443 0.0000
0.0000 0.0000 20.8174
La Pa As
3 3 6
Cartesian
0.0000 0.0000 0.0000
0.0000 2.4296 13.8783
2.1041 1.2148 6.9391
0.0000 0.0000 10.4087
0.0000 2.4296 3.4696
2.1041 1.2148 17.3479
0.0000 0.0000 5.0623
0.0000 0.0000 15.7551
0.0000 2.4296 8.8160
0.0000 2.4296 18.9406
2.1041 1.2148 1.8768
2.1041 1.2148 12.0015
```

Calculated values
**Fermi-level density of states**: 4.04 states/eV/f.u.
**ΔE_f**: -1.30 eV/atom



Entry 3:
This record from Alexandria via LeMat-Bulk describes a geometry-optimized Tb2SmDy6Tm3 structure. The functional is GGA-PBE.

Geometry as POSCAR:
```
Tb2SmDy6Tm3
1.0
3.0651 -5.3028 0.0000
3.0651 5.3028 0.0000
-2.0330 0.0000 11.5404
Tb Sm Dy Tm
2 1 6 3
Cartesian
3.0651 3.5353 0.0000
3.0651 -3.5353 0.0000
3.0651 0.0000 0.0000
0.0026 1.7691 8.6239
1.0266 0.0000 2.9161
0.0026 -1.7691 8.6239
4.0946 1.7691 2.9164
3.0706 0.0000 8.6243
4.0946 -1.7691 2.9164
-1.0165 0.0000 5.7702
2.0486 1.7691 5.7702
2.0486 -1.7691 5.7702
```

Calculated values
**Fermi-level density of states**: 15.81 states/eV/f.u.
**ΔE_f**: 0.02 eV/atom



Entry 4:
This record from Alexandria via LeMat-Bulk describes a geometry-optimized BeHg2Ge2 structure. The functional is GGA-PBE.

Geometry as POSCAR:
```
BeHg2Ge2
1.0
6.1613 0.0000 0.0000
0.0000 6.1613 0.0000
0.0000 0.0000 5.5634
Be Hg Ge
2 4 4
Cartesian
0.0000 0.0000 0.0000
3.0806 3.0806 0.0000
1.1361 1.9445 2.7817
1.9445 5.0252 2.7817
4.2167 1.1361 2.7817
5.0252 4.2167 2.7817
0.9155 2.1651 0.0000
2.1651 5.2457 0.0000
3.9962 0.9155 0.0000
5.2457 3.9962 0.0000
```

Calculated values
**Fermi-level density of states**: 2.06 states/eV/f.u.
**ΔE_f**: 0.27 eV/atom



Entry 5:
This record from Alexandria via LeMat-Bulk describes a geometry-optimized Ti3HgO structure. The functional is GGA-PBE.

Geometry as POSCAR:
```
Ti3HgO
1.0
4.1853 0.0000 0.0000
0.0000 4.1853 0.0000
0.0000 0.0000 4.1853
Ti Hg O
3 1 1
Cartesian
0.0000 0.0000 2.0927
0.0000 2.0927 0.0000
2.0927 0.0000 0.0000
2.0927 2.0927 2.0927
0.0000 0.0000 0.0000
```

Calculated values
**Fermi-level density of states**: 4.67 states/eV/f.u.
**Electronic total energy**: -6.89 eV per atom



Entry 6:
This record from Alexandria via LeMat-Bulk describes a geometry-optimized LiMnBe2 structure. The functional is GGA-PBE.

Geometry as POSCAR:
```
LiMnBe2
1.0
2.3372 0.0000 0.0000
0.0000 4.0346 0.0000
0.0000 0.0000 8.1878
Li Mn Be
2 2 4
Cartesian
0.0000 0.0000 0.0000
1.1686 2.0173 4.0939
0.0000 2.0173 6.4168
1.1686 0.0000 2.3229
0.0000 0.0000 4.3449
0.0000 2.0173 2.0624
1.1686 0.0000 6.1562
1.1686 2.0173 0.2510
```

Calculated values
**Fermi-level density of states**: 1.76 states/eV/f.u.
**ΔE_f**: 0.17 eV/atom



no.,magnetic moment (μB per formula unit)
1,0.00
2,0.00
3,0.00
4,0.00
5,0.00
6,0.47